A relaxed structure of CaYIn4O8, computed with PBE.

Lattice parameters (Å, degrees): 6.6643 6.6643 6.7330 60.34 60.34 60.00
Last column: nearest neighbours and their distance in Å.
Fractional coordinates of all 14 atoms:
Ca (0.3757, 0.3757, 0.8729)  4 O 2.25-2.32
Y (0.0016, 0.0016, 0.9953)  6 O 2.26-2.34
In (0.6250, 0.6250, 0.1251)  4 O 2.20-2.29
In (0.0011, 0.4964, 0.5014)  6 O 2.23-2.27
In (0.4964, 0.0011, 0.5014)  6 O 2.23-2.27
In (0.0011, 0.0011, 0.5014)  6 O 2.23-2.27
O (0.2395, 0.7890, 0.7320)  2 In 2.23, 1 Ca 2.25, 1 Y 2.26
O (0.7890, 0.2395, 0.7320)  2 In 2.23, 1 Ca 2.25, 1 Y 2.26
O (0.2395, 0.2395, 0.7320)  2 In 2.23, 1 Ca 2.25, 1 Y 2.26
O (0.2356, 0.2356, 0.2933)  3 In 2.23, 1 Ca 2.32
O (0.7560, 0.2208, 0.2673)  3 In 2.20-2.27, 1 Y 2.34
O (0.2208, 0.7560, 0.2673)  3 In 2.20-2.27, 1 Y 2.34
O (0.7560, 0.7560, 0.2673)  3 In 2.20-2.27, 1 Y 2.34
O (0.7629, 0.7629, 0.7113)  4 In 2.26-2.29

Properties
Formation energy (no corrections) ... -28.5 eV per formula unit
Crystal system ... trigonal
Space group ... No. 160